! Si3Ge2Au2 (GGA-PBE, relaxed); values from VASP
&SYSTEM
  ibrav = 0, nat = 7, ntyp = 3
/
ATOMIC_SPECIES
Si 28.09 Si.upf
Au 196.97 Au.upf
Ge 72.64 Ge.upf
CELL_PARAMETERS angstrom
0.524 -8.377 -0.765
-0.148 -7.680 3.468
-3.496 -7.636 0.702
ATOMIC_POSITIONS angstrom
Si -2.020 -15.337 2.204
Au -1.509 -11.453 1.646
Ge -0.736 -5.591 0.803
Au -0.013 -0.096 0.014
Si -2.707 -20.553 2.954
Si -1.169 -8.875 1.275
Ge -2.378 -18.057 2.595
! VASP energy = -29.8 eV/cell

***

! KReB4 (GGA-PBE, relaxed); values from VASP
&SYSTEM
  ibrav = 0, nat = 6, ntyp = 3
/
ATOMIC_SPECIES
Re 186.21 Re.upf
B 10.81 B.upf
K 39.10 K.upf
CELL_PARAMETERS angstrom
2.998 0.000 0.000
-1.499 2.596 0.000
0.000 0.000 8.339
ATOMIC_POSITIONS angstrom
Re 0.000 0.000 4.169
B 1.499 0.865 2.496
B 0.000 1.731 5.842
B 0.000 1.731 2.496
B 1.499 0.865 5.842
K 0.000 0.000 0.000
! M_tot = 0.0 μB/cell
! Polymorph energy (0 for the lowest one) = 0.0 kJ/mol of atoms

***

! TmNbCo (GGA-PBE, relaxed); values from VASP
&SYSTEM
  ibrav = 0, nat = 3, ntyp = 3
/
ATOMIC_SPECIES
Nb 92.91 Nb.upf
Co 58.93 Co.upf
Tm 168.93 Tm.upf
CELL_PARAMETERS angstrom
0.000 3.121 3.121
3.121 0.000 3.121
3.121 3.121 0.000
ATOMIC_POSITIONS angstrom
Nb 4.681 4.681 4.681
Co 1.560 1.560 1.560
Tm 0.000 0.000 0.000
! M_tot = 0.1 μB/cell
! ΔE_f = 1.32 eV/atom
! Polymorph energy (0 for the lowest one) = 52.0 kJ/mol of atoms

***

! Tb3AsP2 (GGA-PBE, relaxed); values from VASP
&SYSTEM
  ibrav = 0, nat = 6, ntyp = 3
/
ATOMIC_SPECIES
Tb 158.93 Tb.upf
P 30.97 P.upf
As 74.92 As.upf
CELL_PARAMETERS angstrom
4.061 0.000 0.000
-2.030 3.517 0.000
0.000 0.000 9.960
ATOMIC_POSITIONS angstrom
Tb 0.000 0.000 4.980
P 2.030 1.172 6.616
As 0.000 0.000 0.000
P 0.000 2.345 3.344
Tb 0.000 2.345 8.239
Tb 2.030 1.172 1.720
! M_tot = 0.0 μB/cell
! VASP energy = -38.9 eV/cell

***

! SiNi2Os (GGA-PBE, relaxed); values from VASP
&SYSTEM
  ibrav = 0, nat = 4, ntyp = 3
/
ATOMIC_SPECIES
Ni 58.69 Ni.upf
Os 190.23 Os.upf
Si 28.09 Si.upf
CELL_PARAMETERS angstrom
0.000 2.874 2.874
2.874 0.000 2.874
2.874 2.874 0.000
ATOMIC_POSITIONS angstrom
Ni 0.000 0.000 0.000
Os 1.437 1.437 1.437
Si 2.874 2.874 2.874
Ni 4.312 4.312 4.312
! M_tot = 0.4 μB/cell
! VASP energy = -28.5 eV/cell

***

! Pr2NiGe4Pd (GGA-PBE, relaxed); values from VASP
&SYSTEM
  ibrav = 0, nat = 8, ntyp = 4
/
ATOMIC_SPECIES
Ni 58.69 Ni.upf
Pr 140.91 Pr.upf
Ge 72.64 Ge.upf
Pd 106.42 Pd.upf
CELL_PARAMETERS angstrom
4.352 0.000 0.000
0.000 2.155 8.593
0.000 -2.155 8.593
ATOMIC_POSITIONS angstrom
Ni 0.000 0.000 14.096
Pr 2.176 0.000 6.733
Ge 2.176 0.000 0.597
Ge 0.000 0.000 4.373
Pr 0.000 0.000 10.427
Ge 0.000 0.000 16.451
Pd 2.176 0.000 3.068
Ge 2.176 0.000 12.999
! M_tot = 0.0 μB/cell
! VASP energy = -44.9 eV/cell

***

! TbYSi2Au2 (GGA-PBE, relaxed); values from VASP
&SYSTEM
  ibrav = 0, nat = 6, ntyp = 4
/
ATOMIC_SPECIES
Si 28.09 Si.upf
Tb 158.93 Tb.upf
Au 196.97 Au.upf
Y 88.91 Y.upf
CELL_PARAMETERS angstrom
-2.573 3.295 1.104
-1.047 -4.037 1.141
3.905 0.845 6.575
ATOMIC_POSITIONS angstrom
Si -0.678 -1.403 2.606
Tb 1.955 0.423 3.291
Si 0.766 1.464 5.881
Au 1.435 -0.945 6.164
Au -1.026 1.076 2.864
Y 0.002 0.001 0.004
! M_tot = 0.0 μB/cell
! VASP energy = -33.4 eV/cell

***

! ZnNi2S4 (GGA-PBE, relaxed); values from VASP
&SYSTEM
  ibrav = 0, nat = 14, ntyp = 3
/
ATOMIC_SPECIES
S 32.06 S.upf
Ni 58.69 Ni.upf
Zn 65.41 Zn.upf
CELL_PARAMETERS angstrom
-3.586 -3.660 4.608
0.808 5.044 4.626
-2.735 1.393 -6.170
ATOMIC_POSITIONS angstrom
S -2.410 2.435 -2.234
S -1.778 4.841 0.165
Ni -2.891 2.825 -0.008
Zn -3.855 -0.788 1.528
S -2.127 2.277 5.302
S -4.005 0.808 -0.182
Ni -1.524 2.128 3.077
S -0.562 4.223 2.911
S -3.373 3.214 2.217
S -0.921 1.979 0.852
S -2.485 0.034 3.242
Zn 0.000 0.000 0.000
Ni -3.295 0.303 -2.321
Ni -3.317 0.298 5.381
! M_tot = 0.0 μB/cell
! VASP energy = -62.8 eV/cell

***

! MgCdSeO (GGA-PBE, relaxed); values from VASP
&SYSTEM
  ibrav = 0, nat = 16, ntyp = 4
/
ATOMIC_SPECIES
Mg 24.30 Mg.upf
Se 78.96 Se.upf
Cd 112.41 Cd.upf
O 16.00 O.upf
CELL_PARAMETERS angstrom
6.577 0.000 0.000
0.000 7.902 0.000
0.000 0.000 6.190
ATOMIC_POSITIONS angstrom
Mg 6.222 2.656 0.297
Se 0.421 5.072 0.812
Cd 4.079 7.177 2.869
Mg 2.933 5.246 0.297
Mg 0.355 5.246 3.392
O 3.739 6.982 0.663
Se 6.156 2.830 3.907
Cd 5.787 7.177 5.964
O 6.127 6.982 3.758
Se 3.709 2.830 0.812
O 0.450 0.920 0.663
O 2.838 0.920 3.758
Mg 3.644 2.656 3.392
Se 2.868 5.072 3.907
Cd 0.790 0.725 2.869
Cd 2.498 0.725 5.964
! Polymorph energy (0 for the lowest one) = 22.2 kJ/mol of atoms

***

! PrSmNi (GGA-PBE, relaxed); values from VASP
&SYSTEM
  ibrav = 0, nat = 3, ntyp = 3
/
ATOMIC_SPECIES
Sm 150.36 Sm.upf
Ni 58.69 Ni.upf
Pr 140.91 Pr.upf
CELL_PARAMETERS angstrom
0.000 3.460 3.460
3.460 0.000 3.460
3.460 3.460 0.000
ATOMIC_POSITIONS angstrom
Sm 5.190 5.190 5.190
Ni 0.000 0.000 0.000
Pr 1.730 1.730 1.730
! M_tot = 0.0 μB/cell
! ΔE_f = -0.05 eV/atom
! Polymorph energy (0 for the lowest one) = 0.0 kJ/mol of atoms

***

! Lu4ZnCoN2 (GGA-PBE, relaxed); values from VASP
&SYSTEM
  ibrav = 0, nat = 8, ntyp = 4
/
ATOMIC_SPECIES
Lu 174.97 Lu.upf
N 14.01 N.upf
Co 58.93 Co.upf
Zn 65.41 Zn.upf
CELL_PARAMETERS angstrom
3.335 0.000 0.000
-1.668 2.889 0.000
0.000 0.000 14.112
ATOMIC_POSITIONS angstrom
Lu 1.668 0.963 1.946
N 0.000 1.926 3.434
Co 0.000 0.000 0.000
Lu 0.000 0.000 9.441
Zn 1.668 0.963 7.056
Lu 1.668 0.963 12.166
Lu 0.000 0.000 4.671
N 0.000 1.926 10.678
! M_tot = 0.9 μB/cell
! VASP energy = -49.9 eV/cell

***

! Lu2InB (GGA-PBE, relaxed); values from VASP
&SYSTEM
  ibrav = 0, nat = 8, ntyp = 3
/
ATOMIC_SPECIES
In 114.82 In.upf
Lu 174.97 Lu.upf
B 10.81 B.upf
CELL_PARAMETERS angstrom
-1.903 0.868 2.852
-0.214 -3.265 -1.342
12.497 -4.854 9.819
ATOMIC_POSITIONS angstrom
In 8.595 -5.528 7.420
In 1.784 -1.723 3.908
Lu 4.334 -3.873 4.071
Lu 0.361 -2.329 0.950
Lu 10.019 -4.922 10.378
Lu 6.046 -3.379 7.257
B 6.248 -2.427 4.909
B 0.000 0.000 0.000
! M_tot = 0.0 μB/cell
! VASP energy = -38.2 eV/cell